Record 1
# Li8Mn7FeB8O24

An optimized crystal structure of Li8Mn7FeB8O24 (PBE+U, Alexandria).

Properties
V in Å³ per atom: 10.54
ΔE to the lowest computed polymorph in eV per atom: 0.0420
Space group: P1, No. 1

Lattice parameters (Å, degrees): 5.9855 9.7368 9.8426 64.81 79.73 78.73
Closest atoms and distances in Å follow each position.
Fractional positions:
Li  0.0000  0.0000  0.0000  4 O 1.94-2.05
Li  0.9999  0.4969  0.4999  4 O 1.96-2.05
Li  0.0852  0.4295  0.1215  4 O 1.93-2.06
Li  0.0880  0.9302  0.6231  4 O 1.93-2.05
Li  0.4995  0.9984  0.4974  4 O 1.94-2.05
Li  0.5031  0.4955  0.0006  4 O 1.93-2.05
Li  0.5890  0.4305  0.6231  4 O 1.94-2.05
Li  0.5916  0.9337  0.1244  4 O 1.94-2.04
Mn  0.2255  0.1671  0.6872  4 O 2.10-2.20
Mn  0.2256  0.6681  0.1863  4 O 2.10-2.21
Mn  0.3626  0.7613  0.4350  4 O 2.09-2.20
Mn  0.3696  0.2601  0.9361  5 O 2.10-2.34
Mn  0.7249  0.6674  0.6876  4 O 2.10-2.20
Mn  0.8620  0.2596  0.4332  4 O 2.10-2.19
Mn  0.8628  0.7620  0.9351  4 O 2.10-2.20
Fe  0.7230  0.1656  0.1911  5 O 2.06-2.25
B  0.2105  0.0993  0.2717  3 O 1.38-1.41
B  0.2122  0.5979  0.7726  3 O 1.38-1.40
B  0.3760  0.3298  0.3480  3 O 1.38-1.40
B  0.3771  0.8303  0.8497  3 O 1.38-1.40
B  0.7118  0.0987  0.7720  3 O 1.38-1.40
B  0.7115  0.5986  0.2723  3 O 1.38-1.40
B  0.8768  0.8321  0.3498  3 O 1.38-1.40
B  0.8804  0.3280  0.8531  3 O 1.39-1.40
O  0.0224  0.2159  0.2386  1 B 1.41
O  0.0303  0.7184  0.7435  1 B 1.40
O  0.0572  0.7105  0.3781  1 B 1.40
O  0.0641  0.2091  0.8795  1 B 1.40
O  0.2017  0.3270  0.4635  1 B 1.39
O  0.2017  0.8305  0.9638  1 B 1.39
O  0.2167  0.9842  0.4151  1 B 1.38
O  0.2224  0.4826  0.9155  1 B 1.38
O  0.3660  0.4460  0.2056  1 B 1.38
O  0.3699  0.9448  0.7058  1 B 1.38
O  0.3865  0.5997  0.6573  1 B 1.39
O  0.3956  0.1050  0.1614  1 B 1.40
O  0.5309  0.2195  0.7418  1 B 1.40
O  0.5312  0.7202  0.2428  1 B 1.40
O  0.5583  0.2097  0.3755  1 B 1.40
O  0.5579  0.7091  0.8803  1 B 1.40
O  0.7014  0.8292  0.4647  1 B 1.39
O  0.7074  0.3236  0.9698  1 B 1.39
O  0.7194  0.4826  0.4155  1 B 1.38
O  0.7197  0.9845  0.9161  1 B 1.38
O  0.8674  0.4439  0.7098  1 B 1.39
O  0.8694  0.9494  0.2075  1 B 1.38
O  0.8864  0.0988  0.6574  1 B 1.39
O  0.8859  0.5993  0.1575  1 B 1.39

Record 2
# Li8Mn7FeB8O24

An optimized crystal structure of Li8Mn7FeB8O24 (PBE+U, Alexandria).

Properties
V in Å³ per atom: 10.47
ΔE to the lowest computed polymorph in eV per atom: 0.1010
Space group: P1, No. 1

Lattice parameters (Å, degrees): 5.1998 5.9517 17.8411 85.12 82.85 66.70
Closest atoms and distances in Å follow each position.
Fractional positions:
Li  0.0000  0.0000  0.0000  4 O 1.94-2.06
Li  0.0014  0.4969  0.4987  4 O 1.94-2.06
Li  0.0135  0.0790  0.5601  4 O 1.93-2.05
Li  0.0175  0.5748  0.0597  4 O 1.93-2.08
Li  0.4954  0.2519  0.7510  4 O 1.94-2.06
Li  0.5028  0.7491  0.2486  4 O 1.95-2.04
Li  0.5106  0.8299  0.8108  4 O 1.93-2.04
Li  0.5136  0.3279  0.3096  4 O 1.93-2.05
Mn  0.0351  0.8488  0.7164  5 O 2.11-2.33
Mn  0.0437  0.3438  0.2154  5 O 2.10-2.34
Mn  0.4745  0.4843  0.5933  5 O 2.11-2.34
Mn  0.5414  0.0901  0.4660  5 O 2.10-2.33
Mn  0.5412  0.5921  0.9669  4 O 2.09-2.18
Mn  0.9721  0.2297  0.8452  5 O 2.11-2.22
Mn  0.9756  0.7287  0.3444  5 O 2.08-2.26
Fe  0.4879  0.9797  0.0932  4 O 2.02-2.21
B  0.0249  0.6970  0.8853  3 O 1.38-1.41
B  0.0272  0.1936  0.3846  3 O 1.38-1.41
B  0.4829  0.1323  0.9264  3 O 1.38-1.40
B  0.4845  0.6304  0.4238  3 O 1.38-1.40
B  0.5268  0.9464  0.6354  3 O 1.38-1.40
B  0.5317  0.4456  0.1348  3 O 1.38-1.40
B  0.9837  0.3854  0.6751  3 O 1.38-1.40
B  0.9890  0.8832  0.1745  3 O 1.39-1.40
O  0.1152  0.1569  0.4561  1 B 1.38
O  0.1150  0.6605  0.9564  1 B 1.38
O  0.1247  0.8303  0.8292  1 B 1.40
O  0.1317  0.3227  0.3283  1 B 1.40
O  0.1960  0.4607  0.6895  1 B 1.40
O  0.2041  0.9580  0.1857  1 B 1.40
O  0.3149  0.8718  0.6203  1 B 1.40
O  0.3207  0.3705  0.1197  1 B 1.40
O  0.3724  0.0134  0.9845  1 B 1.40
O  0.3750  0.5098  0.4813  1 B 1.39
O  0.3944  0.6680  0.3525  1 B 1.38
O  0.3956  0.1658  0.8549  1 B 1.38
O  0.6109  0.9130  0.7074  1 B 1.38
O  0.6184  0.4104  0.2066  1 B 1.38
O  0.6421  0.0628  0.5779  1 B 1.39
O  0.6455  0.5640  0.0776  1 B 1.39
O  0.6961  0.2065  0.9405  1 B 1.40
O  0.6980  0.7042  0.4384  1 B 1.40
O  0.8212  0.1118  0.3688  1 B 1.41
O  0.8221  0.6113  0.8695  1 B 1.41
O  0.8693  0.2689  0.7326  1 B 1.39
O  0.8814  0.7649  0.2327  1 B 1.39
O  0.8922  0.9187  0.1035  1 B 1.39
O  0.8994  0.4179  0.6029  1 B 1.38